A relaxed NdMg4Sc crystal. Source: Alexandria, functional PBE.

```
NdMg4Sc
1.0
-4.7407 3.3697 1.4259
-5.5381 -2.1460 -0.7660
-3.3509 -1.4070 4.7596
Mg Sc Nd
4 1 1
direct
0.6254 0.6254 0.1239 Mg
0.6254 0.6254 0.6254 Mg
0.6254 0.1239 0.6254 Mg
0.1239 0.6254 0.6254 Mg
0.0000 0.0000 0.0000 Sc
0.2500 0.2500 0.2500 Nd
```

The value obtained for the density of states at the Fermi level is 1.163 states/eV per atom. The value obtained for the spin magnetization is 0.0 μB/f.u. Its crystal system is cubic. The calculation puts the formation energy at -0.036 eV/atom. For the excess energy over the best structure of this formula in the dataset, the calculation gives 12.3 meV per atom.